Entry 1:
This record from Alexandria via LeMat-Bulk describes a relaxed structure of SiTcHg2C. The functional is GGA-PBE.

Properties
raw total energy: -3.217 eV/atom
E_form (uncorrected): 9.533 eV per formula unit

a = 5.3520 Å, b = 5.3520 Å, c = 4.5794 Å
α = 90.00°, β = 90.00°, γ = 90.00°
Closest atoms and distances in Å follow each position.
Space group P4/mmm (No. 123)
Inequivalent atoms, fractional coordinates:
Si  0.0000  0.0000  0.0000 (multiplicity 1)  2 Tc 2.29
Tc  0.0000  0.0000  0.5000 (multiplicity 1)  2 Si 2.29
Hg  0.0000  0.5000  0.5000 (multiplicity 2)  2 Tc 2.68
C  0.5000  0.5000  0.0000 (multiplicity 1)  8 Hg 3.52, 4 Si 3.78



Entry 2:
This record from Alexandria via LeMat-Bulk describes a relaxed structure of Hf3CrCd. The functional is GGA-PBE.

Properties
excess energy over the best structure of this formula in the dataset: 0.0 meV/atom
raw total energy: -7.518 eV/atom
calculated formation energy: 0.5618 eV per atom

a = 4.8341 Å, b = 4.8341 Å, c = 4.8341 Å
α = 90.00°, β = 90.00°, γ = 90.00°
Closest atoms and distances in Å follow each position.
Space group Pm-3m (No. 221)
Inequivalent atoms, fractional coordinates:
Hf  0.0000  0.0000  0.5000 (multiplicity 3)  2 Cr 2.42
Cr  0.0000  0.0000  0.0000 (multiplicity 1)  6 Hf 2.42
Cd  0.5000  0.5000  0.5000 (multiplicity 1)  12 Hf 3.42



Entry 3:
This record from Alexandria via LeMat-Bulk describes a relaxed structure of Li4Ga2As. The functional is GGA-PBE.

Properties
raw total energy: -2.758 eV/atom
calculated formation energy: -0.1356 eV per atom

a = 4.8073 Å, b = 4.8073 Å, c = 13.1415 Å
α = 90.00°, β = 90.00°, γ = 90.00°
Closest atoms and distances in Å follow each position.
Space group I4/mmm (No. 139)
Inequivalent atoms, fractional coordinates:
Li  0.0000  0.0000  0.1915 (multiplicity 4)  1 As 2.52, 1 Ga 2.67
Li  0.0000  0.5000  0.0000 (multiplicity 4)  2 As 2.40
Ga  0.0000  0.0000  0.3947 (multiplicity 4)  5 Li 2.67-2.77, 1 Ga 2.77
As  0.0000  0.0000  0.0000 (multiplicity 2)  6 Li 2.40-2.52



Number 1: size of the total moment 0.62 μB/atom. Number 2: size of the total moment 0.00 μB/atom. Number 3: size of the total moment 0.00 μB/atom.